This record from Alexandria via LeMat-Bulk describes crystalline Y2SbRh at its relaxed geometry. The functional is PBE.

Values from the calculation:
formation energy (no corrections): -767.9 meV/atom

Cell lengths 6.4187, 6.4187, 6.4187 Å; angles 147.21, 137.66, 54.56 degrees
Last column: nearest neighbours and their distance in Å.
Element x y z (fractional)
1 Rh 0.4883 0.4883 0.0000  2 Sb 2.82, 6 Y 2.94-3.16
2 Sb 0.2990 0.7990 0.5000  2 Rh 2.82, 4 Y 3.09
3 Y 0.9978 0.9978 0.0000  4 Rh 2.94, 2 Sb 3.24
4 Y 0.7149 0.2149 0.5000  4 Sb 3.09, 2 Rh 3.16, 2 Y 3.39

This record from Alexandria via LeMat-Bulk describes crystalline YSbRh3 at its relaxed geometry. The functional is PBE.

Values from the calculation:
formation energy (no corrections): 960.9 meV/atom
ΔE to the lowest computed polymorph: 7.62 eV per formula unit

Cell lengths 4.8930, 4.8930, 4.8930 Å; angles 90.00, 90.00, 90.00 degrees
Last column: nearest neighbours and their distance in Å.
Element x y z (fractional)
1 Y 0.0000 0.0000 0.0000  6 Rh 2.45
2 Sb 0.5000 0.5000 0.5000  12 Rh 3.46
3 Rh 0.0000 0.5000 0.0000  2 Y 2.45
4 Rh 0.0000 0.0000 0.5000  2 Y 2.45
5 Rh 0.5000 0.0000 0.0000  2 Y 2.45

This record from Alexandria via LeMat-Bulk describes crystalline Y2SbRh2 at its relaxed geometry. The functional is PBE.

Values from the calculation:
formation energy (no corrections): -616.0 meV/atom
ΔE to the lowest computed polymorph: 1.48 eV per formula unit

Cell lengths 5.4466, 5.4466, 5.5151 Å; angles 60.41, 60.41, 90.00 degrees
Last column: nearest neighbours and their distance in Å.
Element x y z (fractional)
1 Y 0.7500 0.2500 0.5000  4 Rh 2.81
2 Y 0.2500 0.7500 0.5000  4 Rh 2.81
3 Sb 0.0000 0.0000 0.0000  2 Rh 2.67
4 Rh 0.3385 0.3385 0.3230  1 Rh 2.55, 1 Sb 2.67, 4 Y 2.81
5 Rh 0.6615 0.6615 0.6770  1 Rh 2.55, 1 Sb 2.67, 4 Y 2.81

This record from Alexandria via LeMat-Bulk describes crystalline YSbRh4 at its relaxed geometry. The functional is PBE.

Values from the calculation:
formation energy (no corrections): -295.1 meV/atom
ΔE to the lowest computed polymorph: 0.74 eV per formula unit

Cell lengths 4.6993, 6.7615, 7.4447 Å; angles 90.00, 108.40, 90.00 degrees
Last column: nearest neighbours and their distance in Å.
Element x y z (fractional)
1 Y 0.3915 0.7500 0.7829  1 Rh 2.65
2 Y 0.6085 0.2500 0.2171  1 Rh 2.65
3 Sb 0.1450 0.7500 0.2900  6 Rh 2.53-2.66
4 Sb 0.8550 0.2500 0.7100  6 Rh 2.53-2.66
5 Rh 0.2392 0.4289 0.4784  3 Rh 2.42-2.56, 1 Sb 2.55
6 Rh 0.7608 0.5711 0.5216  3 Rh 2.42-2.56, 1 Sb 2.55
7 Rh 0.2392 0.0711 0.4784  3 Rh 2.42-2.56, 1 Sb 2.55
8 Rh 0.7608 0.9289 0.5216  3 Rh 2.42-2.56, 1 Sb 2.55
9 Rh 0.5787 0.7500 0.1575  2 Sb 2.53, 1 Y 2.65
10 Rh 0.4213 0.2500 0.8425  2 Sb 2.53, 1 Y 2.65
11 Rh 0.0000 0.5000 0.0000  2 Sb 2.66
12 Rh 0.0000 0.0000 0.0000  2 Sb 2.66

This record from Alexandria via LeMat-Bulk describes crystalline YSb2Rh at its relaxed geometry. The functional is PBE.

Values from the calculation:
formation energy (no corrections): -493.4 meV/atom

Cell lengths 4.6739, 4.6790, 4.0264 Å; angles 90.00, 90.00, 90.00 degrees
Last column: nearest neighbours and their distance in Å.
Element x y z (fractional)
1 Rh 0.0000 0.5000 0.5000  8 Sb 3.08-3.09, 4 Y 3.31
2 Sb 0.0000 0.0000 0.0000  4 Y 3.08, 4 Rh 3.09, 4 Sb 3.31
3 Sb 0.5000 0.5000 0.0000  4 Rh 3.08, 4 Y 3.09, 4 Sb 3.31
4 Y 0.5000 0.0000 0.5000  8 Sb 3.08-3.09, 4 Rh 3.31

This record from Alexandria via LeMat-Bulk describes crystalline Y2SbRh2 at its relaxed geometry. The functional is PBE.

Values from the calculation:
formation energy (no corrections): -912.8 meV/atom
ΔE to the lowest computed polymorph: 0.00 eV per formula unit

Cell lengths 4.4257, 5.5451, 5.5451 Å; angles 63.42, 66.48, 66.48 degrees
Last column: nearest neighbours and their distance in Å.
Element x y z (fractional)
1 Y 0.7973 0.7027 0.7027  6 Rh 2.94-3.09
2 Y 0.2027 0.2973 0.2973  6 Rh 2.94-3.09
3 Sb 0.0000 0.0000 0.0000  4 Rh 2.72
4 Rh 0.5000 0.7291 0.2709  1 Rh 2.67, 2 Sb 2.72, 2 Y 2.94
5 Rh 0.5000 0.2709 0.7291  1 Rh 2.67, 2 Sb 2.72, 2 Y 2.94

This record from Alexandria via LeMat-Bulk describes crystalline YSb4Rh at its relaxed geometry. The functional is PBE.

Values from the calculation:
formation energy (no corrections): 263.1 meV/atom

Cell lengths 6.0749, 6.0749, 6.0749 Å; angles 60.00, 60.00, 60.00 degrees
Last column: nearest neighbours and their distance in Å.
Element x y z (fractional)
1 Y 0.7500 0.7500 0.7500  12 Sb 3.56, 4 Rh 3.72
2 Sb 0.8768 0.3744 0.3744  6 Sb 3.02-3.05
3 Sb 0.3744 0.3744 0.8768  6 Sb 3.02-3.05
4 Sb 0.3744 0.8768 0.3744  6 Sb 3.02-3.05
5 Sb 0.3744 0.3744 0.3744  6 Sb 3.02-3.05
6 Rh 0.0000 0.0000 0.0000  12 Sb 3.56, 4 Y 3.72

This record from Alexandria via LeMat-Bulk describes crystalline Y5SbRh2 at its relaxed geometry. The functional is PBE.

Values from the calculation:
formation energy (no corrections): -780.2 meV/atom

Cell lengths 7.7830, 7.7830, 8.6892 Å; angles 116.61, 116.61, 90.00 degrees
Last column: nearest neighbours and their distance in Å.
Element x y z (fractional)
1 Y 0.5197 0.7058 0.7255  3 Rh 2.91-2.95
2 Y 0.7942 0.9803 0.2745  3 Rh 2.91-2.95
3 Y 0.0000 0.0000 0.0000  4 Rh 3.01, 2 Sb 3.36
4 Y 0.5000 0.5000 0.0000  4 Rh 3.01, 2 Sb 3.36
5 Y 0.2058 0.0197 0.7255  3 Rh 2.91-2.95
6 Y 0.7058 0.2058 0.7255  3 Rh 2.91-2.95
7 Y 0.0197 0.5197 0.7255  3 Rh 2.91-2.95
8 Y 0.2942 0.7942 0.2745  3 Rh 2.91-2.95
9 Y 0.9803 0.4803 0.2745  3 Rh 2.91-2.95
10 Y 0.4803 0.2942 0.2745  3 Rh 2.91-2.95
11 Sb 0.7500 0.7500 0.5000  10 Y 3.30-3.36
12 Sb 0.2500 0.2500 0.5000  10 Y 3.30-3.36
13 Rh 0.1389 0.3611 0.0000  8 Y 2.91-3.01, 1 Rh 3.06
14 Rh 0.6389 0.1389 0.0000  8 Y 2.91-3.01, 1 Rh 3.06
15 Rh 0.3611 0.8611 0.0000  8 Y 2.91-3.01, 1 Rh 3.06
16 Rh 0.8611 0.6389 0.0000  8 Y 2.91-3.01, 1 Rh 3.06

This record from Alexandria via LeMat-Bulk describes crystalline YSb2Rh at its relaxed geometry. The functional is PBE.

Values from the calculation:
formation energy (no corrections): -572.2 meV/atom

Cell lengths 6.8619, 6.8619, 4.1725 Å; angles 72.29, 72.29, 30.29 degrees
Last column: nearest neighbours and their distance in Å.
Element x y z (fractional)
1 Rh 0.7155 0.7155 0.7845  6 Sb 2.68-2.85
2 Sb 0.0572 0.0572 0.9428  2 Rh 2.68
3 Sb 0.2733 0.2733 0.2266  4 Rh 2.84-2.85, 2 Y 3.08
4 Y 0.4539 0.4539 0.5461  6 Sb 3.04-3.08

This record from Alexandria via LeMat-Bulk describes crystalline Y2Sb2Rh at its relaxed geometry. The functional is PBE.

Values from the calculation:
formation energy (no corrections): -800.4 meV/atom

Cell lengths 7.1319, 7.1319, 4.6884 Å; angles 90.00, 90.00, 90.00 degrees
Last column: nearest neighbours and their distance in Å.
Element x y z (fractional)
1 Y 0.1684 0.6684 0.5000  6 Sb 2.99-3.25
2 Y 0.6684 0.8316 0.5000  6 Sb 2.99-3.25
3 Y 0.8316 0.3316 0.5000  6 Sb 2.99-3.25
4 Y 0.3316 0.1684 0.5000  6 Sb 2.99-3.25
5 Sb 0.3531 0.8531 0.0000  2 Rh 2.73, 1 Sb 2.96, 2 Y 2.99
6 Sb 0.8531 0.6469 0.0000  2 Rh 2.73, 1 Sb 2.96, 2 Y 2.99
7 Sb 0.6469 0.1469 0.0000  2 Rh 2.73, 1 Sb 2.96, 2 Y 2.99
8 Sb 0.1469 0.3531 0.0000  2 Rh 2.73, 1 Sb 2.96, 2 Y 2.99
9 Rh 0.0000 0.0000 0.0000  4 Sb 2.73
10 Rh 0.5000 0.5000 0.0000  4 Sb 2.73

Number 1: spin magnetization 0.00 μB per formula unit, Fermi-level density of states 2.1 states/eV/cell, raw total energy -27.474 eV for the cell shown. Number 2: spin magnetization 0.00 μB per formula unit, Fermi-level density of states 5.8 states/eV/cell, raw total energy -27.836 eV for the cell shown. Number 3: spin magnetization 0.00 μB per formula unit, Fermi-level density of states 4.4 states/eV/cell, raw total energy -34.833 eV for the cell shown. Number 4: spin magnetization 0.00 μB per formula unit, Fermi-level density of states 7.8 states/eV/cell, raw total energy -83.525 eV for the cell shown. Number 5: spin magnetization 0.00 μB per formula unit, Fermi-level density of states 3.3 states/eV/cell, raw total energy -24.034 eV for the cell shown. Number 6: spin magnetization 0.00 μB per formula unit, Fermi-level density of states 2.4 states/eV/cell, raw total energy -36.317 eV for the cell shown. Number 7: spin magnetization 0.00 μB per formula unit, Fermi-level density of states 4.2 states/eV/cell, raw total energy -28.726 eV for the cell shown. Number 8: spin magnetization 0.00 μB per formula unit, Fermi-level density of states 15.3 states/eV/cell, raw total energy -114.774 eV for the cell shown. Number 9: spin magnetization 0.00 μB per formula unit, Fermi-level density of states 0.8 states/eV/cell, raw total energy -24.349 eV for the cell shown. Number 10: spin magnetization 0.00 μB per formula unit, Fermi-level density of states 9.2 states/eV/cell, raw total energy -65.053 eV for the cell shown.